# Sn2SbAu2 (PBE, optimized geometry)
# E_form (uncorrected)   0.039 eV/atom
# Volume   24.8 Å³/atom
data_Sn2SbAu2
_chemical_formula_sum 'Sn2 Sb1 Au2'
_space_group_name_H-M_alt 'P 1'
_space_group_IT_number 1
_space_group_name_Hall 'P 1'
_cell_length_a 3.969
_cell_length_b 3.969
_cell_length_c 8.348
_cell_angle_alpha 76.25
_cell_angle_beta 76.25
_cell_angle_gamma 90.00
loop_
_atom_site_label
_atom_site_type_symbol
_atom_site_fract_x
_atom_site_fract_y
_atom_site_fract_z
_atom_site_occupancy
Sb1 Sb 0.000 0.000 0.000 1
Au1 Au 0.750 0.250 0.500 1
Au2 Au 0.250 0.750 0.500 1
Sn1 Sn 0.393 0.393 0.215 1
Sn2 Sn 0.607 0.607 0.785 1



# Sn2SbAu2 (PBE, optimized geometry)
# E_form (uncorrected)   -0.041 eV/atom
# Volume   23.8 Å³/atom
data_Sn2SbAu2
_chemical_formula_sum 'Sn4 Sb2 Au4'
_space_group_name_H-M_alt 'P 1'
_space_group_IT_number 1
_space_group_name_Hall 'P 1'
_cell_length_a 7.714
_cell_length_b 7.714
_cell_length_c 4.007
_cell_angle_alpha 90.00
_cell_angle_beta 90.00
_cell_angle_gamma 90.00
loop_
_atom_site_label
_atom_site_type_symbol
_atom_site_fract_x
_atom_site_fract_y
_atom_site_fract_z
_atom_site_occupancy
Sb1 Sb 0.000 0.000 0.000 1
Sb2 Sb 0.500 0.500 0.000 1
Au1 Au 0.367 0.867 0.000 1
Au2 Au 0.867 0.633 0.000 1
Au3 Au 0.633 0.133 0.000 1
Au4 Au 0.133 0.367 0.000 1
Sn1 Sn 0.167 0.667 0.500 1
Sn2 Sn 0.667 0.833 0.500 1
Sn3 Sn 0.833 0.333 0.500 1
Sn4 Sn 0.333 0.167 0.500 1



# Sn2Sb2Au7 (PBE, optimized geometry)
# E_form (uncorrected)   0.002 eV/atom
# Volume   22.8 Å³/atom
data_Sn2Sb2Au7
_chemical_formula_sum 'Sn2 Sb2 Au7'
_space_group_name_H-M_alt 'P 1'
_space_group_IT_number 1
_space_group_name_Hall 'P 1'
_cell_length_a 5.142
_cell_length_b 7.593
_cell_length_c 7.593
_cell_angle_alpha 99.07
_cell_angle_beta 70.33
_cell_angle_gamma 70.33
loop_
_atom_site_label
_atom_site_type_symbol
_atom_site_fract_x
_atom_site_fract_y
_atom_site_fract_z
_atom_site_occupancy
Sn1 Sn 0.686 0.814 0.814 1
Sn2 Sn 0.314 0.186 0.186 1
Sb1 Sb 0.500 0.714 0.286 1
Sb2 Sb 0.500 0.286 0.714 1
Au1 Au 0.167 0.099 0.566 1
Au2 Au 0.833 0.434 0.901 1
Au3 Au 0.833 0.901 0.434 1
Au4 Au 0.167 0.566 0.099 1
Au5 Au 0.000 0.000 0.000 1
Au6 Au 0.668 0.332 0.332 1
Au7 Au 0.332 0.668 0.668 1



Asked for DFT total energy across the records above, the calculation gives -3.698 -3.777 -3.561 eV per atom in order.
Asked for magnetization across the records above, the calculation gives 0.0 0.0 0.0 μB/cell in order.